Record 1
The following is a DFT calculation (PBE) of an optimized crystal structure of Sr3BO5.

Computed properties:
Mass density, g/cm3: 4.81
Space group: I4/mcm
Formation energy (no corrections), meV per atom: -2583.4
DFT total energy, eV per atom: -6.6405

Geometry as POSCAR:
```
Sr3BO5
1.0
6.865 0.000 0.000
0.000 6.865 0.000
-3.432 -3.432 5.177
Sr B O
6 2 10
direct
0.681 0.181 0.000
0.319 0.819 0.000
0.819 0.681 0.000
0.181 0.319 0.000
0.250 0.250 0.500
0.750 0.750 0.500
0.750 0.250 0.500
0.250 0.750 0.500
0.960 0.460 0.676
0.716 0.216 0.676
0.216 0.960 0.676
0.460 0.716 0.676
0.040 0.540 0.324
0.284 0.784 0.324
0.784 0.040 0.324
0.540 0.284 0.324
0.500 0.500 0.000
0.000 0.000 0.000
```


Record 2
The following is a DFT calculation (PBE) of an optimized crystal structure of SrTaBO5.

Computed properties:
Mass density, g/cm3: 6.21
Space group: C2/c
Formation energy (no corrections), meV per atom: -2756.0
DFT total energy, eV per atom: -8.3814

Geometry as POSCAR:
```
SrTaBO5
1.0
-4.415 -0.972 -3.077
-1.499 -1.240 5.111
0.707 7.298 -0.013
Sr Ta B O
2 2 2 10
direct
0.340 0.660 0.250
0.660 0.340 0.750
0.000 0.000 0.500
0.000 0.000 0.000
0.686 0.314 0.250
0.314 0.686 0.750
0.071 0.929 0.250
0.929 0.071 0.750
0.871 0.298 0.126
0.129 0.702 0.874
0.702 0.129 0.374
0.298 0.871 0.626
0.766 0.603 0.390
0.234 0.397 0.610
0.397 0.234 0.110
0.603 0.766 0.890
```


Record 3
The following is a DFT calculation (PBE) of an optimized crystal structure of SrTaB2O8.

Computed properties:
Mass density, g/cm3: 4.46
Space group: P-3m1
Formation energy (no corrections), meV per atom: -2150.9
DFT total energy, eV per atom: -7.6971

Geometry as POSCAR:
```
SrTaB2O8
1.0
-3.389 1.029 -3.638
1.034 -4.820 1.217
-5.082 0.114 4.766
Sr Ta B O
1 1 2 8
direct
0.000 0.000 0.500
0.000 0.000 0.000
0.667 0.333 0.239
0.333 0.667 0.761
0.823 0.177 0.174
0.823 0.646 0.174
0.354 0.177 0.174
0.646 0.823 0.826
0.333 0.667 0.550
0.667 0.333 0.450
0.177 0.823 0.826
0.177 0.354 0.826
```


Record 4
The following is a DFT calculation (PBE) of an optimized crystal structure of Sr2TcBO6.

Computed properties:
Mass density, g/cm3: 5.06
Space group: I4/m
Formation energy (no corrections), meV per atom: -2048.7
DFT total energy, eV per atom: -7.0643

Geometry as POSCAR:
```
Sr2TcBO6
1.0
-2.720 1.574 4.473
-2.944 -4.407 1.321
0.392 -2.833 5.356
Sr Tc B O
2 1 1 6
direct
0.750 0.250 0.500
0.250 0.750 0.500
0.000 0.000 0.000
0.500 0.500 0.000
0.225 0.225 0.551
0.777 0.776 0.998
0.309 0.692 0.000
0.691 0.308 0.000
0.223 0.224 0.002
0.775 0.775 0.449
```


Record 5
The following is a DFT calculation (PBE) of an optimized crystal structure of SrTcBO6.

Computed properties:
Mass density, g/cm3: 3.63
Space group: P1
Formation energy (no corrections), meV per atom: -1958.8
DFT total energy, eV per atom: -7.3448

Geometry as POSCAR:
```
SrTcBO6
1.0
5.944 -0.134 0.004
2.863 4.266 -0.004
0.010 -0.014 5.199
Sr Tc B O
1 1 1 6
direct
0.981 0.025 0.011
0.370 0.297 0.522
0.863 0.665 0.445
0.979 0.394 0.316
0.287 0.072 0.710
0.550 0.370 0.740
0.992 0.686 0.656
0.328 0.546 0.262
0.649 0.943 0.338
```


Record 6
The following is a DFT calculation (PBE) of an optimized crystal structure of SrTcB2O6.

Computed properties:
Mass density, g/cm3: 4.21
Space group: R-3
Formation energy (no corrections), meV per atom: -2274.8
DFT total energy, eV per atom: -7.7900

Geometry as POSCAR:
```
SrTcB2O6
1.0
4.972 0.000 0.000
2.486 4.306 0.000
2.486 1.435 5.592
Sr Tc B O
1 1 2 6
direct
0.000 0.000 0.000
0.500 0.500 0.500
0.766 0.766 0.702
0.234 0.234 0.298
0.063 0.513 0.713
0.711 0.063 0.713
0.487 0.289 0.287
0.937 0.487 0.287
0.289 0.937 0.287
0.513 0.711 0.713
```


Record 7
The following is a DFT calculation (PBE) of an optimized crystal structure of SrTcBO5.

Computed properties:
Mass density, g/cm3: 4.98
Space group: C2/c
Formation energy (no corrections), meV per atom: -2065.8
DFT total energy, eV per atom: -7.5053

Geometry as POSCAR:
```
SrTcBO5
1.0
5.417 0.050 -0.065
-1.534 5.196 -0.065
-1.691 -2.285 6.584
Sr Tc B O
2 2 2 10
direct
0.339 0.661 0.250
0.661 0.339 0.750
0.000 0.000 0.500
0.000 0.000 0.000
0.690 0.310 0.250
0.310 0.690 0.750
0.057 0.943 0.250
0.943 0.057 0.750
0.874 0.306 0.125
0.126 0.694 0.875
0.694 0.126 0.375
0.306 0.874 0.625
0.763 0.599 0.397
0.237 0.401 0.603
0.401 0.237 0.103
0.599 0.763 0.897
```


Record 8
The following is a DFT calculation (PBE) of an optimized crystal structure of SrBTeO2.

Computed properties:
Mass density, g/cm3: 4.46
Space group: P4/mmm
Formation energy (no corrections), meV per atom: 478.8
DFT total energy, eV per atom: -3.8046

Geometry as POSCAR:
```
SrBTeO2
1.0
-1.876 -1.049 3.452
4.794 -2.773 1.763
1.329 3.416 1.760
Sr B Te O
1 1 1 2
direct
0.000 0.500 0.000
0.000 0.000 0.000
0.500 0.500 0.500
0.000 0.000 0.500
0.500 0.000 0.000
```